Compound: Er2ZrGa2Rh5
Source: Alexandria
Functional: PBE-GGA
Structure: relaxed

Lattice parameters (Å, degrees): 9.8947 9.8947 3.5606 90.00 90.00 90.00
With the nearest neighbours (Å) after each atom.
Space group P4/mbm (No. 127)
Asymmetric unit:
Er: 0.1724 0.3276 0.0000 [4 per cell]  3 Ga 2.84-2.98, 6 Rh 3.00-3.14
Zr: 0.0000 0.0000 0.0000 [2 per cell]  8 Rh 2.79
Ga: 0.1248 0.6248 0.0000 [4 per cell]  6 Rh 2.49-2.50
Rh: 0.0000 0.5000 0.5000 [2 per cell]  4 Ga 2.49
Rh: 0.0685 0.7935 0.5000 [8 per cell]  2 Ga 2.50, 2 Zr 2.79

Compound: PrHo3Th2P6
Source: Alexandria
Functional: PBE-GGA
Structure: relaxed

Lattice parameters (Å, degrees): 17.7408 4.0860 8.1334 90.00 102.95 90.00
With the nearest neighbours (Å) after each atom.
Space group C2/m (No. 12)
Asymmetric unit:
Pr: 0.0000 0.0000 0.0000 [2 per cell]  6 P 2.94
Ho: 0.0000 0.0000 0.5000 [2 per cell]  6 P 2.83-2.86
Ho: 0.1654 0.5000 0.8335 [4 per cell]  6 P 2.84-2.86
Th: 0.1657 0.5000 0.3311 [4 per cell]  6 P 2.89-2.92
P: 0.0013 0.5000 0.7411 [4 per cell]  3 Ho 2.83-2.84, 1 Th 2.89, 2 Pr 2.94
P: 0.1652 0.0000 0.5873 [4 per cell]  3 Ho 2.86, 3 Th 2.92
P: 0.1701 0.0000 0.0800 [4 per cell]  3 Ho 2.84-2.85, 2 Th 2.90, 1 Pr 2.94

Number 1: spin magnetization 0.00 μB/cell, ΔH_f (0 K) -870.2 meV/atom. Number 2: spin magnetization 0.00 μB/cell, ΔH_f (0 K) -1584.3 meV/atom.